1.
VASP calculation (PBE) on an optimized crystal structure of YTe2IrN.

Properties
Crystal system   tetragonal
Calculated total energy   -0.36085 Ry/atom
Space-group type   P4/mmm
Formation energy (no corrections)   1.0771 eV per atom

a = 5.8245 Å, b = 5.8245 Å, c = 3.9531 Å
α = 90.00°, β = 90.00°, γ = 90.00°
With the nearest neighbours (Å) after each atom.
Positions (direct):
Y  0.0000  0.0000  0.0000  2 N 1.98
Te  0.0000  0.5000  0.0000  2 Y 2.91
Te  0.5000  0.0000  0.0000  2 Y 2.91
Ir  0.5000  0.5000  0.5000  8 Te 3.52
N  0.0000  0.0000  0.5000  2 Y 1.98

2.
VASP calculation (PBE) on an optimized crystal structure of ZnTe2IrN.

Properties
Crystal system   tetragonal
Calculated total energy   -0.33729 Ry/atom
Space-group type   P4/mmm
Formation energy (no corrections)   0.3597 eV per atom

a = 5.5772 Å, b = 5.5772 Å, c = 3.6420 Å
α = 90.00°, β = 90.00°, γ = 90.00°
With the nearest neighbours (Å) after each atom.
Positions (direct):
Zn  0.0000  0.0000  0.0000  8 Te 3.33, 2 Zn 3.64
Te  0.0000  0.5000  0.5000  2 Ir 2.79
Te  0.5000  0.0000  0.5000  2 Ir 2.79
Ir  0.5000  0.5000  0.5000  2 N 1.82
N  0.5000  0.5000  0.0000  2 Ir 1.82

3.
VASP calculation (PBE) on an optimized crystal structure of ZnTeIrN2.

Properties
Crystal system   tetragonal
Calculated total energy   -0.30824 Ry/atom
Space-group type   P4/mmm
Formation energy (no corrections)   1.7916 eV per atom

a = 3.8121 Å, b = 3.8121 Å, c = 6.3356 Å
α = 90.00°, β = 90.00°, γ = 90.00°
With the nearest neighbours (Å) after each atom.
Positions (direct):
Zn  0.0000  0.0000  0.0000  4 N 1.91
Te  0.0000  0.0000  0.5000  4 Ir 2.70
Ir  0.5000  0.5000  0.5000  4 Te 2.70
N  0.0000  0.5000  0.0000  2 Zn 1.91
N  0.5000  0.0000  0.0000  2 Zn 1.91

4.
VASP calculation (PBE) on an optimized crystal structure of ZnTe2IrN.

Properties
Crystal system   tetragonal
Calculated total energy   -0.27605 Ry/atom
Space-group type   P4/mmm
Formation energy (no corrections)   1.1929 eV per atom

a = 5.3227 Å, b = 5.3227 Å, c = 3.4823 Å
α = 90.00°, β = 90.00°, γ = 90.00°
With the nearest neighbours (Å) after each atom.
Positions (direct):
Zn  0.0000  0.0000  0.0000  2 N 1.74
Te  0.0000  0.5000  0.0000  2 Zn 2.66
Te  0.5000  0.0000  0.0000  2 Zn 2.66
Ir  0.5000  0.5000  0.5000  8 Te 3.18, 2 Ir 3.48
N  0.0000  0.0000  0.5000  2 Zn 1.74